# 1
A PBEsol-optimized structure of CoNiAs2Se, computed with meta-GGA SCAN.

```
CoNiAs2Se
1.0
4.4212 0.0000 0.0000
0.0000 4.4212 0.0000
0.0000 0.0000 4.7540
Se Co As Ni
1 1 2 1
direct
0.0000 0.0000 0.5000
0.5000 0.5000 0.5000
0.0000 0.5000 0.0000
0.5000 0.0000 0.0000
0.0000 0.0000 0.0000
```

## Properties
- distance to the lowest polymorph of the same formula (meV/atom) = 0.0
- SG = P4/mmm, No. 123
- N(E_F) (states/eV/atom) = 0.610
- formation energy without anion corrections (kJ per mole of atoms) = 64.7

# 2
A PBEsol-optimized structure of Co8As3O16, computed with meta-GGA SCAN.

```
Co8As3O16
1.0
5.9668 0.1721 0.0641
3.0487 5.1320 0.0641
3.0438 1.7908 9.1733
Co O As
8 16 3
direct
0.5000 0.0000 0.0000
0.7281 0.2791 0.2539
0.2376 0.2376 0.7410
0.0000 0.5000 0.0000
0.7209 0.2719 0.7461
0.2791 0.7281 0.2539
0.7624 0.7624 0.2590
0.2719 0.7209 0.7461
0.6661 0.1002 0.1283
0.8903 0.8903 0.8871
0.1097 0.1097 0.1129
0.8998 0.3339 0.8717
0.3877 0.8847 0.3670
0.6554 0.6554 0.1446
0.8847 0.3877 0.3670
0.6318 0.6318 0.6203
0.1153 0.6123 0.6330
0.1209 0.1209 0.6208
0.3339 0.8998 0.8717
0.8791 0.8791 0.3792
0.6123 0.1153 0.6330
0.3446 0.3446 0.8554
0.3682 0.3682 0.3797
0.1002 0.6661 0.1283
0.8076 0.8076 0.5757
0.0000 0.0000 0.0000
0.1924 0.1924 0.4243
```

## Properties
- SG = C2/m, No. 12
- N(E_F) (states/eV/atom) = 0.143
- formation energy without anion corrections (kJ per mole of atoms) = -120.7

# 3
A PBEsol-optimized structure of CoAsO3, computed with meta-GGA SCAN.

```
CoAsO3
1.0
3.7273 0.0000 0.0000
0.0000 3.7273 0.0000
0.0000 0.0000 3.7273
O Co As
3 1 1
direct
0.0000 0.5000 0.0000
0.0000 0.0000 0.5000
0.5000 0.0000 0.0000
0.5000 0.5000 0.5000
0.0000 0.0000 0.0000
```

## Properties
- SG = Pm-3m, No. 221
- N(E_F) (states/eV/atom) = 0.608
- formation energy without anion corrections (kJ per mole of atoms) = -51.7

# 4
A PBEsol-optimized structure of CoAsPO2, computed with meta-GGA SCAN.

```
CoAsPO2
1.0
3.5958 0.0000 0.0000
0.0000 3.5958 0.0000
0.0000 0.0000 4.6561
P Co As O
1 1 1 2
direct
0.0000 0.0000 0.5000
0.0000 0.0000 0.0000
0.5000 0.5000 0.5000
0.0000 0.5000 0.0000
0.5000 0.0000 0.0000
```

## Properties
- SG = P4/mmm, No. 123
- N(E_F) (states/eV/atom) = 0.582
- formation energy without anion corrections (kJ per mole of atoms) = -11.8

# 5
A PBEsol-optimized structure of CoAs2PbO, computed with meta-GGA SCAN.

```
CoAs2PbO
1.0
-1.0466 0.1314 -3.2142
-1.0276 -4.9733 0.1312
-4.7202 1.0170 1.5786
O As Pb Co
1 2 1 1
direct
0.5000 0.0000 0.0000
0.0000 0.0000 0.5000
0.0000 0.5000 0.0000
0.5000 0.5000 0.5000
0.0000 0.0000 0.0000
```

## Properties
- SG = P4/mmm, No. 123
- N(E_F) (states/eV/atom) = 0.739
- formation energy without anion corrections (kJ per mole of atoms) = -3.8

# 6
A PBEsol-optimized structure of SrCoAs2O7, computed with meta-GGA SCAN.

```
SrCoAs2O7
1.0
5.5524 0.0000 0.0036
0.0000 8.2246 0.0000
-0.2566 0.0000 13.0718
Co As O Sr
4 8 28 4
direct
0.1569 0.1410 0.8923
0.8431 0.8590 0.1077
0.3431 0.6410 0.6077
0.6569 0.3590 0.3923
0.2438 0.0223 0.6621
0.6679 0.1914 0.0121
0.8321 0.6914 0.4879
0.2562 0.5223 0.8379
0.1679 0.3086 0.5121
0.3321 0.8086 0.9879
0.7438 0.4777 0.1621
0.7562 0.9777 0.3379
0.4691 0.9534 0.2985
0.4656 0.6178 0.7660
0.7177 0.4023 0.0347
0.3680 0.1496 0.0241
0.5344 0.3822 0.2340
0.1506 0.8254 0.6539
0.6506 0.6746 0.1539
0.8494 0.1746 0.3461
0.3494 0.3254 0.8461
0.1727 0.9036 0.8905
0.6320 0.8504 0.9759
0.1954 0.8308 0.1031
0.8046 0.1692 0.8969
0.1320 0.6496 0.4759
0.3046 0.3308 0.3969
0.6727 0.5964 0.3905
0.0344 0.1178 0.7340
0.8273 0.0964 0.1095
0.3273 0.4036 0.6095
0.9656 0.8822 0.2660
0.2823 0.5977 0.9653
0.5309 0.0466 0.7015
0.0309 0.4534 0.2015
0.6954 0.6692 0.6031
0.8680 0.3504 0.5241
0.9691 0.5466 0.7985
0.7823 0.9023 0.4653
0.2177 0.0977 0.5347
0.2925 0.6680 0.2821
0.2075 0.1680 0.2179
0.7075 0.3320 0.7179
0.7925 0.8320 0.7821
```

## Properties
- SG = P2_1/c, No. 14
- N(E_F) (states/eV/atom) = 0.000
- formation energy without anion corrections (kJ per mole of atoms) = -174.8

# 7
A PBEsol-optimized structure of CoAs2Os2, computed with meta-GGA SCAN.

```
CoAs2Os2
1.0
-1.6675 1.5594 2.9886
-3.1235 -1.9687 -0.7156
4.2887 -3.9759 2.1011
As Os Co
2 2 1
direct
0.7500 0.2500 0.5000
0.2500 0.7500 0.5000
0.6117 0.6117 0.2235
0.3883 0.3883 0.7765
0.0000 0.0000 0.0000
```

## Properties
- formation enthalpy at 0 K (eV per atom) = 0.5636
- SG = I4/mmm, No. 139
- N(E_F) (states/eV/atom) = 0.618

# 8
A PBEsol-optimized structure of CoAs3Os, computed with meta-GGA SCAN.

```
CoAs3Os
1.0
-0.7867 -4.2073 -2.0096
0.7596 -2.1265 4.1546
-4.6004 0.3683 1.0297
As Os Co
3 1 1
direct
0.0000 0.0000 0.5000
0.5000 0.0000 0.0000
0.0000 0.5000 0.0000
0.0000 0.0000 0.0000
0.5000 0.5000 0.5000
```

## Properties
- formation enthalpy at 0 K (eV per atom) = 1.0574
- SG = Pm-3m, No. 221
- N(E_F) (states/eV/atom) = 0.776

# 9
A PBEsol-optimized structure of Co3AsOs, computed with meta-GGA SCAN.

```
Co3AsOs
1.0
-4.0973 0.9223 1.2242
-1.5023 -3.1097 -2.6852
0.3041 -2.9354 3.2294
As Os Co
1 1 3
direct
0.5000 0.5000 0.5000
0.0000 0.0000 0.0000
0.0000 0.5000 0.0000
0.5000 0.0000 0.0000
0.0000 0.0000 0.5000
```

## Properties
- formation enthalpy at 0 K (eV per atom) = 1.7519
- SG = Pm-3m, No. 221
- N(E_F) (states/eV/atom) = 1.126

# 10
A PBEsol-optimized structure of CoAsP, computed with meta-GGA SCAN.

```
CoAsP
1.0
5.6666 0.0000 0.0000
0.0000 5.6997 0.0000
0.0000 0.0000 10.1409
Co P As
8 8 8
direct
0.5136 0.6089 0.3801
0.5136 0.8911 0.8801
0.4864 0.3911 0.6199
0.4864 0.1089 0.1199
0.9864 0.1089 0.3801
0.9864 0.3911 0.8801
0.0136 0.6089 0.1199
0.0136 0.8911 0.6199
0.6266 0.9813 0.3223
0.1266 0.5187 0.6777
0.3734 0.0187 0.6777
0.8734 0.4813 0.3223
0.6266 0.5187 0.8223
0.8734 0.0187 0.8223
0.1266 0.9813 0.1777
0.3734 0.4813 0.1777
0.3600 0.2445 0.4204
0.6400 0.7555 0.5796
0.1400 0.7555 0.9204
0.3600 0.2555 0.9204
0.8600 0.2555 0.5796
0.6400 0.7445 0.0796
0.1400 0.7445 0.4204
0.8600 0.2445 0.0796
```

## Properties
- distance to the lowest polymorph of the same formula (meV/atom) = 52.2
- formation enthalpy at 0 K (eV per atom) = -0.3415
- SG = Pbca, No. 61

# 11
A PBEsol-optimized structure of Co2AsP, computed with meta-GGA SCAN.

```
Co2AsP
1.0
-2.9615 0.8111 0.6341
0.5646 -3.9353 -0.0807
1.1953 1.0130 4.2868
Co As P
2 1 1
direct
0.0091 0.0182 0.9965
0.2217 0.4435 0.6137
0.7478 0.4956 0.2185
0.5214 0.0428 0.6712
```

## Properties
- distance to the lowest polymorph of the same formula (meV/atom) = 0.0
- formation enthalpy at 0 K (eV per atom) = -0.0935
- SG = Cm, No. 8
- N(E_F) (states/eV/atom) = 0.824

# 12
A PBEsol-optimized structure of Co2AsP, computed with meta-GGA SCAN.

```
Co2AsP
1.0
3.7593 0.0000 0.0000
1.8797 3.6859 0.0787
1.8797 1.3510 3.4303
As Co P
1 2 1
direct
0.0000 0.5000 0.5000
0.7807 0.2193 0.2193
0.2193 0.7807 0.7807
0.5000 0.0000 0.0000
```

## Properties
- distance to the lowest polymorph of the same formula (meV/atom) = 262.6
- formation enthalpy at 0 K (eV per atom) = 0.1691
- SG = Immm, No. 71
- N(E_F) (states/eV/atom) = 0.793

# 13
A PBEsol-optimized structure of CoAsP, computed with meta-GGA SCAN.

```
CoAsP
1.0
3.1458 0.0000 0.0000
-1.5729 2.7244 0.0000
0.0000 0.0000 4.8270
Co P As
1 1 1
direct
0.3333 0.6667 0.6434
0.6667 0.3333 0.3867
0.0000 0.0000 0.9699
```

## Properties
- distance to the lowest polymorph of the same formula (meV/atom) = 390.9
- formation enthalpy at 0 K (eV per atom) = -0.0029
- SG = P3m1, No. 156
- N(E_F) (states/eV/atom) = 0.457

# 14
A PBEsol-optimized structure of CoAsP, computed with meta-GGA SCAN.

```
CoAsP
1.0
-1.7959 -1.8182 -1.5324
3.2420 -0.0913 -3.6912
2.5404 -4.4831 2.3421
P As Co
2 2 2
direct
0.5000 0.9406 0.3664
0.0000 0.0594 0.8664
0.0000 0.4285 0.1341
0.5000 0.5715 0.6341
0.5000 0.7694 0.0057
0.0000 0.2306 0.5057
```

## Properties
- distance to the lowest polymorph of the same formula (meV/atom) = 0.0
- formation enthalpy at 0 K (eV per atom) = -0.3937
- SG = Pmn2_1, No. 31
- N(E_F) (states/eV/atom) = 0.258

# 15
A PBEsol-optimized structure of CoAs2P, computed with meta-GGA SCAN.

```
CoAs2P
1.0
4.3465 0.0000 0.0000
2.1732 3.7641 0.0000
2.1732 1.2547 3.5489
Co P As
1 1 2
direct
0.5000 0.5000 0.5000
0.7500 0.7500 0.7500
0.2500 0.2500 0.2500
0.0000 0.0000 0.0000
```

## Properties
- formation enthalpy at 0 K (eV per atom) = 0.6129
- SG = F-43m, No. 216
- N(E_F) (states/eV/atom) = 0.543

# 16
A PBEsol-optimized structure of CoAs2Pb, computed with meta-GGA SCAN.

```
CoAs2Pb
1.0
-1.2277 2.7033 -0.0762
-0.9715 -0.5864 -5.1533
-3.2367 -2.9985 3.6530
As Co Pb
2 1 1
direct
0.8127 0.8127 0.6254
0.1873 0.1873 0.3746
0.5000 0.0000 0.0000
0.0000 0.5000 0.0000
```

## Properties
- formation enthalpy at 0 K (eV per atom) = 0.3019
- SG = Immm, No. 71
- N(E_F) (states/eV/atom) = 0.645

# 17
A PBEsol-optimized structure of CoAs2Pb, computed with meta-GGA SCAN.

```
CoAs2Pb
1.0
3.7339 0.0000 0.0000
0.0000 4.6552 -0.0088
0.0000 -1.5584 4.3866
Pb As Co
1 2 1
direct
0.5000 0.5000 0.5000
0.0000 0.0000 0.5000
0.0000 0.5000 0.0000
0.5000 0.0000 0.0000
```

## Properties
- formation enthalpy at 0 K (eV per atom) = 0.5346
- SG = Cmmm, No. 65
- N(E_F) (states/eV/atom) = 0.539

# 18
A PBEsol-optimized structure of CoAs2Pb, computed with meta-GGA SCAN.

```
CoAs2Pb
1.0
-1.1937 -3.1924 2.8501
4.5429 1.7384 0.3870
-3.2878 2.5782 1.5108
Co As Pb
1 2 1
direct
0.5000 0.0000 0.5000
0.7500 0.5000 0.2500
0.2500 0.5000 0.7500
0.0000 0.0000 0.0000
```

## Properties
- formation enthalpy at 0 K (eV per atom) = 0.6419
- SG = I4/mmm, No. 139
- N(E_F) (states/eV/atom) = 0.574

# 19
A PBEsol-optimized structure of CoAsPd, computed with meta-GGA SCAN.

```
CoAsPd
1.0
3.6496 0.0000 0.0000
0.0000 3.6496 0.0000
0.0000 0.0000 6.0361
As Pd Co
2 2 2
direct
0.0000 0.5000 0.7678
0.5000 0.0000 0.2322
0.5000 0.0000 0.6353
0.0000 0.5000 0.3647
0.5000 0.5000 0.0000
0.0000 0.0000 0.0000
```

## Properties
- formation enthalpy at 0 K (eV per atom) = -0.3484
- SG = P4/nmm, No. 129
- N(E_F) (states/eV/atom) = 0.165

# 20
A PBEsol-optimized structure of Co2AsPt, computed with meta-GGA SCAN.

```
Co2AsPt
1.0
2.8040 0.0000 0.0000
0.0000 2.8038 0.0000
0.0000 0.0000 6.2908
Co As Pt
2 1 1
direct
0.0000 0.0000 0.2828
0.0000 0.0000 0.7172
0.5000 0.5000 0.5000
0.5000 0.5000 0.0000
```

## Properties
- formation enthalpy at 0 K (eV per atom) = 0.0613
- SG = P4/mmm, No. 123
- N(E_F) (states/eV/atom) = 0.855

| no. | final energy (eV/cell) |
| --- | --- |
| 1 | -90.6 |
| 2 | -332.5 |
| 3 | -58.9 |
| 4 | -61.0 |
| 5 | -139.9 |
| 6 | -574.0 |
| 7 | -198.6 |
| 8 | -144.5 |
| 9 | -135.2 |
| 10 | -391.3 |
| 11 | -65.6 |
| 12 | -64.5 |
| 13 | -47.9 |
| 14 | -98.1 |
| 15 | -65.6 |
| 16 | -132.3 |
| 17 | -131.3 |
| 18 | -130.9 |
| 19 | -142.6 |
| 20 | -124.7 |